Material: LiLaCr2Ag
Method: DFT, PBE
State: optimized geometry

Computed properties:
calculated formation energy = 1.6422 eV/atom
DOS at the Fermi energy = 1.4333 states/eV per atom
uncorrected energy = -4.146 eV/atom
space group = P4/mmm (123)

```
LiLaCr2Ag
1.0
4.514 0.000 0.000
0.000 4.514 0.000
0.000 0.000 4.838
Li La Cr Ag
1 1 2 1
direct
0.000 0.000 0.000 Li
0.000 0.000 0.500 La
0.000 0.500 0.500 Cr
0.500 0.000 0.500 Cr
0.500 0.500 0.000 Ag
```

---

Material: LaThVN4
Method: DFT, PBE
State: optimized geometry

Computed properties:
energy relative to the elements, uncorrected = -1.3303 eV per atom
DOS at the Fermi energy = 0.1412 states/eV per atom
uncorrected energy = -9.154 eV/atom
space group = Cmcm (63)

```
LaThVN4
1.0
2.727 -6.439 0.000
2.727 6.439 0.000
0.000 0.000 5.436
La Th V N
2 2 2 8
direct
0.109 0.891 0.750 La
0.891 0.109 0.250 La
0.391 0.609 0.750 Th
0.609 0.391 0.250 Th
0.234 0.766 0.250 V
0.766 0.234 0.750 V
0.000 0.500 0.000 N
0.000 0.500 0.500 N
0.089 0.911 0.250 N
0.431 0.569 0.250 N
0.500 0.000 0.000 N
0.500 0.000 0.500 N
0.569 0.431 0.750 N
0.911 0.089 0.750 N
```

---

Material: Tc2MoRu
Method: DFT, PBE
State: optimized geometry

Computed properties:
calculated formation energy = 0.0869 eV/atom
energy above the most stable polymorph in this dataset = 0.285 eV/f.u.
DOS at the Fermi energy = 0.8468 states/eV per atom
uncorrected energy = -10.123 eV/atom
space group = Cmmm (65)

```
Tc2MoRu
1.0
2.754 -3.904 0.000
2.754 3.904 0.000
0.000 0.000 2.744
Tc Mo Ru
2 1 1
direct
0.000 0.500 0.000 Tc
0.500 0.000 0.000 Tc
0.000 0.000 0.500 Mo
0.500 0.500 0.500 Ru
```

---

Material: CaCeHg6
Method: DFT, PBE
State: optimized geometry

Computed properties:
calculated formation energy = -0.3145 eV/atom
energy above the most stable polymorph in this dataset = 0.477 eV/f.u.
DOS at the Fermi energy = 1.5048 states/eV per atom
uncorrected energy = -1.533 eV/atom
space group = P4/mmm (123)

```
CaCeHg6
1.0
4.752 0.000 0.000
0.000 4.752 0.000
0.000 0.000 9.305
Ca Ce Hg
1 1 6
direct
0.000 0.000 0.000 Ca
0.000 0.000 0.500 Ce
0.000 0.500 0.251 Hg
0.000 0.500 0.749 Hg
0.500 0.000 0.251 Hg
0.500 0.000 0.749 Hg
0.500 0.500 0.000 Hg
0.500 0.500 0.500 Hg
```

---

Material: LaTiN
Method: DFT, PBE
State: optimized geometry

Computed properties:
energy relative to the elements, uncorrected = -0.8106 eV per atom
energy above the most stable polymorph in this dataset = 0.000 eV/f.u.
DOS at the Fermi energy = 0.8598 states/eV per atom
uncorrected energy = -7.860 eV/atom
space group = P3m1 (156)

```
LaTiN
1.0
3.272 0.000 0.000
-1.636 2.833 0.000
0.000 0.000 5.984
La Ti N
1 1 1
direct
0.000 0.000 0.000 La
0.333 0.667 0.444 Ti
0.667 0.333 0.312 N
```

---

Material: TlHg2Pd9
Method: DFT, PBE
State: optimized geometry

Computed properties:
calculated formation energy = -0.1221 eV/atom
DOS at the Fermi energy = 1.6318 states/eV per atom
uncorrected energy = -4.264 eV/atom
space group = P4/mmm (123)

```
TlHg2Pd9
1.0
4.065 0.000 0.000
0.000 4.065 0.000
0.000 0.000 12.176
Tl Hg Pd
1 2 9
direct
0.000 0.000 0.000 Tl
0.000 0.000 0.334 Hg
0.000 0.000 0.666 Hg
0.000 0.500 0.168 Pd
0.000 0.500 0.500 Pd
0.000 0.500 0.832 Pd
0.500 0.000 0.168 Pd
0.500 0.000 0.500 Pd
0.500 0.000 0.832 Pd
0.500 0.500 0.000 Pd
0.500 0.500 0.334 Pd
0.500 0.500 0.666 Pd
```

---

Material: LaEr3B
Method: DFT, PBE
State: optimized geometry

Computed properties:
calculated formation energy = 0.0296 eV/atom
DOS at the Fermi energy = 1.1503 states/eV per atom
uncorrected energy = -5.029 eV/atom
space group = Pm-3m (221)

```
LaEr3B
1.0
5.149 0.000 0.000
0.000 5.149 0.000
0.000 0.000 5.149
La Er B
1 3 1
direct
0.000 0.000 0.000 La
0.000 0.500 0.500 Er
0.500 0.000 0.500 Er
0.500 0.500 0.000 Er
0.500 0.500 0.500 B
```

---

Material: Ac3LaSe4
Method: DFT, PBE
State: optimized geometry

Computed properties:
energy relative to the elements, uncorrected = -1.8852 eV per atom
energy above the most stable polymorph in this dataset = 0.118 eV/f.u.
DOS at the Fermi energy = 0.7253 states/eV per atom
uncorrected energy = -5.784 eV/atom
space group = Pm-3m (221)

```
Ac3LaSe4
1.0
6.269 0.000 0.000
0.000 6.269 0.000
0.000 0.000 6.269
Ac La Se
3 1 4
direct
0.000 0.000 0.500 Ac
0.000 0.500 0.000 Ac
0.500 0.000 0.000 Ac
0.500 0.500 0.500 La
0.000 0.000 0.000 Se
0.000 0.500 0.500 Se
0.500 0.000 0.500 Se
0.500 0.500 0.000 Se
```